An optimized crystal structure of TlSeCl2. Source: Alexandria, functional PBE.

Summary:
Formation energy (no corrections) = -17.3 kJ per mole of atoms
Mass density = 4.4 g/cm³

Lattice parameters (Å, degrees): 5.5664 5.5664 9.4863 72.94 72.94 90.00
Closest atoms and distances in Å follow each position.
Fractional positions:
Tl: 0.0000 0.0000 0.0000  4 Cl 3.21
Tl: 0.7500 0.2500 0.5000  4 Cl 3.21
Se: 0.5000 0.5000 0.0000  4 Cl 2.71
Se: 0.2500 0.7500 0.5000  4 Cl 2.71
Cl: 0.5299 0.1250 0.2500  2 Se 2.71
Cl: 0.2201 0.6250 0.2500  2 Se 2.71
Cl: 0.3750 0.4701 0.7500  2 Se 2.71
Cl: 0.8750 0.7799 0.7500  2 Se 2.71

An optimized crystal structure of Tl2RuAu. Source: Alexandria, functional PBE.

Summary:
Mass density = 14.0 g/cm³
Energy of formation from the pure elements = 0.374 eV per atom

Lattice parameters (Å, degrees): 4.3836 3.5338 5.7088 71.75 90.00 90.00
Closest atoms and distances in Å follow each position.
Fractional positions:
Au: 0.0000 0.7008 0.4729  2 Ru 2.79, 7 Tl 2.94-3.00
Ru: 0.5000 0.5430 0.7918  2 Au 2.79, 6 Tl 2.84-3.12
Tl: 0.0000 0.9775 0.9188  4 Ru 2.90, 3 Au 2.99-3.00
Tl: 0.5000 0.2788 0.3165  3 Ru 2.84-3.13, 4 Au 2.94

Q: Among the records above, which one has the highest mass density?
A: Tl2RuAu

Q: The highest mass density belongs to which entry?
A: Tl2RuAu

Q: Number 2 is which compound?
A: Tl2RuAu

Q: mass density of number 2 (Tl2RuAu)?
A: 14.0 g/cm³